Entry a
{"formula": "GaCuPd6", "functional": "GGA-PBE", "state": "optimized geometry", "space_group": "No. 65", "magnetic_moment_mub_per_atom": 0.000, "dos_at_fermi_per_ev_cell": 10.079, "lattice": [[3.885, 0.000, 0.000], [0.000, 5.541, -0.042], [0.000, 0.028, 5.541]], "species": ["Pd", "Pd", "Pd", "Pd", "Pd", "Pd", "Cu", "Ga"], "frac_coords": [[0.000, 0.750, 0.250], [0.500, 0.000, 0.500], [0.000, 0.250, 0.750], [0.000, 0.751, 0.751], [0.500, 0.500, 0.000], [0.000, 0.249, 0.249], [0.500, 0.500, 0.500], [0.500, 0.000, 0.000]]}

Entry b
{"formula": "GaCuPd6", "functional": "GGA-PBE", "state": "optimized geometry", "space_group": "No. 2", "magnetic_moment_mub_per_atom": 0.000, "dos_at_fermi_per_ev_cell": 8.311, "lattice": [[-1.042, 4.798, -4.939], [-4.806, 4.966, 0.855], [-0.212, 5.206, 0.182]], "species": ["Pd", "Pd", "Pd", "Pd", "Pd", "Pd", "Ga", "Cu"], "frac_coords": [[0.751, 0.989, 0.725], [0.036, 0.510, 0.206], [0.249, 0.011, 0.275], [0.571, 0.747, 0.602], [0.964, 0.490, 0.794], [0.429, 0.253, 0.398], [0.500, 0.500, 0.500], [0.000, 0.000, 0.000]]}

Winner for stability: entry a

Entry a
{"formula": "GaCu6Pd12", "functional": "GGA-PBE", "state": "optimized geometry", "space_group": "No. 148", "magnetic_moment_mub_per_atom": 0.000, "dos_at_fermi_per_ev_cell": 15.483, "lattice": [[-3.520, -2.406, 5.191], [-0.005, -4.986, -5.213], [3.191, -6.065, 2.250]], "species": ["Cu", "Cu", "Cu", "Cu", "Cu", "Cu", "Pd", "Pd", "Pd", "Pd", "Pd", "Pd", "Pd", "Pd", "Pd", "Pd", "Pd", "Pd", "Ga"], "frac_coords": [[0.421, 0.472, 0.212], [0.367, 0.788, 0.684], [0.633, 0.212, 0.316], [0.051, 0.684, 0.528], [0.949, 0.316, 0.472], [0.579, 0.528, 0.788], [0.163, 0.053, 0.576], [0.739, 0.576, 0.371], [0.793, 0.268, 0.888], [0.525, 0.844, 0.268], [0.207, 0.732, 0.112], [0.681, 0.888, 0.844], [0.837, 0.947, 0.424], [0.890, 0.629, 0.947], [0.319, 0.112, 0.156], [0.110, 0.371, 0.053], [0.475, 0.156, 0.732], [0.261, 0.424, 0.629], [0.000, 0.000, 0.000]]}

Entry b
{"formula": "GaCu6Pd12", "functional": "GGA-PBE", "state": "optimized geometry", "space_group": "No. 148", "magnetic_moment_mub_per_atom": 0.000, "dos_at_fermi_per_ev_cell": 16.795, "lattice": [[6.485, 0.508, 0.609], [-0.481, 6.487, 0.609], [-0.481, -0.560, 6.491]], "species": ["Pd", "Pd", "Pd", "Pd", "Pd", "Pd", "Pd", "Pd", "Pd", "Pd", "Pd", "Pd", "Cu", "Cu", "Cu", "Cu", "Cu", "Cu", "Ga"], "frac_coords": [[0.471, 0.564, 0.197], [0.197, 0.471, 0.564], [0.152, 0.367, 0.022], [0.022, 0.152, 0.367], [0.848, 0.633, 0.978], [0.367, 0.022, 0.152], [0.564, 0.197, 0.471], [0.633, 0.978, 0.848], [0.803, 0.529, 0.436], [0.529, 0.436, 0.803], [0.978, 0.848, 0.633], [0.436, 0.803, 0.529], [0.112, 0.730, 0.266], [0.266, 0.112, 0.730], [0.734, 0.888, 0.270], [0.730, 0.266, 0.112], [0.888, 0.270, 0.734], [0.270, 0.734, 0.888], [0.000, 0.000, 0.000]]}

Winner for stability: entry a